(1)
Computed, not measured: Tb3ScSi6 after structural relaxation at the PBE level of DFT.

Properties
The mass density is 5.7 g/cm3. For the total moment, the calculation gives 0.0 μB/f.u. For the total energy, the calculation gives -5.91 eV per atom. The calculation puts the raw formation energy at -613 kJ/mol of formula units.

Unit cell a=7.438 b=7.438 c=7.438 alpha=97.79 beta=97.79 gamma=97.79
Positions (direct):
Tb1 0.186 0.750 0.314
Tb2 0.250 0.686 0.814
Tb3 0.314 0.186 0.750
Tb4 0.686 0.814 0.250
Tb5 0.750 0.314 0.186
Tb6 0.814 0.250 0.686
Sc1 0.000 0.000 0.000
Sc2 0.500 0.500 0.500
Si1 0.017 0.090 0.378
Si2 0.090 0.378 0.017
Si3 0.122 0.410 0.483
Si4 0.378 0.017 0.090
Si5 0.410 0.483 0.122
Si6 0.483 0.122 0.410
Si7 0.517 0.878 0.590
Si8 0.590 0.517 0.878
Si9 0.622 0.983 0.910
Si10 0.878 0.590 0.517
Si11 0.910 0.622 0.983
Si12 0.983 0.910 0.622

=====

(2)
Computed, not measured: Tb2Sc3Si4 after structural relaxation at the PBE level of DFT.

Properties
The mass density is 5.1 g/cm3. For the total moment, the calculation gives 0.0 μB/f.u. For the total energy, the calculation gives -6.39 eV per atom. The calculation puts the raw formation energy at -726 kJ/mol of formula units.

Unit cell a=7.101 b=13.999 c=7.405 alpha=90.00 beta=90.00 gamma=90.00
Positions (direct):
Tb1 0.012 0.097 0.176
Tb2 0.012 0.403 0.176
Tb3 0.488 0.597 0.676
Tb4 0.488 0.903 0.676
Tb5 0.512 0.097 0.324
Tb6 0.512 0.403 0.324
Tb7 0.988 0.597 0.824
Tb8 0.988 0.903 0.824
Sc1 0.162 0.750 0.503
Sc2 0.170 0.125 0.677
Sc3 0.170 0.375 0.677
Sc4 0.330 0.625 0.177
Sc5 0.330 0.875 0.177
Sc6 0.338 0.250 0.003
Sc7 0.662 0.750 0.997
Sc8 0.670 0.125 0.823
Sc9 0.670 0.375 0.823
Sc10 0.830 0.625 0.323
Sc11 0.830 0.875 0.323
Sc12 0.838 0.250 0.497
Si1 0.033 0.750 0.116
Si2 0.157 0.539 0.465
Si3 0.157 0.961 0.465
Si4 0.214 0.250 0.374
Si5 0.286 0.750 0.874
Si6 0.343 0.039 0.965
Si7 0.343 0.461 0.965
Si8 0.467 0.250 0.616
Si9 0.533 0.750 0.384
Si10 0.657 0.539 0.035
Si11 0.657 0.961 0.035
Si12 0.714 0.250 0.126
Si13 0.786 0.750 0.626
Si14 0.843 0.039 0.535
Si15 0.843 0.461 0.535
Si16 0.967 0.250 0.884

=====

(3)
Computed, not measured: ScSi3Tc3 after structural relaxation at the PBE level of DFT.

Properties
The mass density is 5.0 g/cm3. For the total moment, the calculation gives 2.4 μB/f.u. For the total energy, the calculation gives -7.32 eV per atom. The calculation puts the raw formation energy at 238 kJ/mol of formula units.

Unit cell a=6.541 b=6.541 c=6.541 alpha=90.00 beta=90.00 gamma=90.00
Positions (direct):
Sc1 0.000 0.000 0.000
Sc2 0.500 0.500 0.500
Si1 0.000 0.250 0.500
Si2 0.000 0.750 0.500
Si3 0.250 0.500 0.000
Si4 0.500 0.000 0.250
Si5 0.500 0.000 0.750
Si6 0.750 0.500 0.000
Tc1 0.000 0.500 0.250
Tc2 0.000 0.500 0.750
Tc3 0.250 0.000 0.500
Tc4 0.500 0.250 0.000
Tc5 0.500 0.750 0.000
Tc6 0.750 0.000 0.500

=====

(4)
Computed, not measured: Sc3Si3Tc after structural relaxation at the PBE level of DFT.

Properties
The mass density is 4.2 g/cm3. For the total moment, the calculation gives 0.0 μB/f.u. For the total energy, the calculation gives -7.29 eV per atom. The calculation puts the raw formation energy at -522 kJ/mol of formula units.

Unit cell a=5.450 b=5.450 c=13.043 alpha=108.67 beta=108.67 gamma=43.13
Positions (direct):
Sc1 0.018 0.018 0.374
Sc2 0.104 0.104 0.922
Sc3 0.240 0.240 0.227
Sc4 0.760 0.760 0.773
Sc5 0.896 0.896 0.078
Sc6 0.982 0.982 0.626
Si1 0.372 0.372 0.455
Si2 0.386 0.386 0.927
Si3 0.461 0.461 0.768
Si4 0.539 0.539 0.232
Si5 0.614 0.614 0.073
Si6 0.628 0.628 0.545
Tc1 0.258 0.258 0.592
Tc2 0.742 0.742 0.408

=====

(5)
Computed, not measured: Sc2SiTc after structural relaxation at the PBE level of DFT.

Properties
The mass density is 5.3 g/cm3. For the total moment, the calculation gives 0.0 μB/f.u. For the total energy, the calculation gives -7.61 eV per atom. The calculation puts the raw formation energy at -191 kJ/mol of formula units.

Unit cell a=4.405 b=4.405 c=3.516 alpha=90.00 beta=90.00 gamma=90.00
Positions (direct):
Sc1 0.000 0.500 0.000
Sc2 0.500 0.000 0.000
Si1 0.000 0.000 0.500
Tc1 0.500 0.500 0.500

=====

(6)
Computed, not measured: ScSi3Tc after structural relaxation at the PBE level of DFT.

Properties
The mass density is 3.2 g/cm3. For the total moment, the calculation gives 4.0 μB/f.u. For the total energy, the calculation gives -5.12 eV per atom. The calculation puts the raw formation energy at 713 kJ/mol of formula units.

Unit cell a=4.887 b=4.887 c=4.887 alpha=90.00 beta=90.00 gamma=90.00
Positions (direct):
Sc1 0.000 0.000 0.000
Si1 0.000 0.000 0.500
Si2 0.000 0.500 0.000
Si3 0.500 0.000 0.000
Tc1 0.500 0.500 0.500

=====

(7)
Computed, not measured: Sc2SiTc after structural relaxation at the PBE level of DFT.

Properties
The mass density is 5.1 g/cm3. For the total moment, the calculation gives 0.0 μB/f.u. For the total energy, the calculation gives -7.52 eV per atom. The calculation puts the raw formation energy at -156 kJ/mol of formula units.

Unit cell a=5.452 b=5.452 c=4.509 alpha=114.16 beta=114.16 gamma=35.59
Positions (direct):
Sc1 0.000 0.000 0.000
Sc2 0.225 0.225 0.726
Si1 0.447 0.447 0.447
Tc1 0.750 0.750 0.251

=====

(8)
Computed, not measured: ScSi3Tc after structural relaxation at the PBE level of DFT.

Properties
The mass density is 3.8 g/cm3. For the total moment, the calculation gives 0.0 μB/f.u. For the total energy, the calculation gives -6.29 eV per atom. The calculation puts the raw formation energy at 146 kJ/mol of formula units.

Unit cell a=4.625 b=4.625 c=4.625 alpha=90.00 beta=90.00 gamma=90.00
Positions (direct):
Sc1 0.000 0.000 0.000
Si1 0.000 0.500 0.500
Si2 0.500 0.000 0.500
Si3 0.500 0.500 0.000
Tc1 0.500 0.500 0.500

=====

(9)
Computed, not measured: Sc2SiTc2 after structural relaxation at the PBE level of DFT.

Properties
The mass density is 5.9 g/cm3. For the total moment, the calculation gives 0.0 μB/f.u. For the total energy, the calculation gives -8.14 eV per atom. The calculation puts the raw formation energy at -183 kJ/mol of formula units.

Unit cell a=6.389 b=6.389 c=4.333 alpha=90.00 beta=90.00 gamma=90.00
Positions (direct):
Sc1 0.174 0.326 0.000
Sc2 0.326 0.826 0.000
Sc3 0.674 0.174 0.000
Sc4 0.826 0.674 0.000
Si1 0.000 0.000 0.500
Si2 0.500 0.500 0.500
Tc1 0.136 0.636 0.500
Tc2 0.364 0.136 0.500
Tc3 0.636 0.864 0.500
Tc4 0.864 0.364 0.500

=====

(10)
Computed, not measured: ScSiTc2 after structural relaxation at the PBE level of DFT.

Properties
The mass density is 7.2 g/cm3. For the total moment, the calculation gives 0.0 μB/f.u. For the total energy, the calculation gives -8.36 eV per atom. The calculation puts the raw formation energy at -92 kJ/mol of formula units.

Unit cell a=5.020 b=5.020 c=5.020 alpha=143.57 beta=123.30 gamma=69.29
Positions (direct):
Sc1 0.000 0.000 0.000
Si1 0.500 0.500 0.000
Tc1 0.272 0.772 0.500
Tc2 0.728 0.228 0.500

=====

(11)
Computed, not measured: Sc2Si4Tc3 after structural relaxation at the PBE level of DFT.

Properties
The mass density is 6.1 g/cm3. For the total moment, the calculation gives 0.0 μB/f.u. For the total energy, the calculation gives -8.07 eV per atom. The calculation puts the raw formation energy at -689 kJ/mol of formula units.

Unit cell a=6.664 b=6.630 c=6.534 alpha=90.00 beta=109.66 gamma=90.00
Positions (direct):
Sc1 0.192 0.168 0.059
Sc2 0.192 0.332 0.559
Sc3 0.808 0.668 0.441
Sc4 0.808 0.832 0.941
Si1 0.098 0.545 0.871
Si2 0.098 0.955 0.371
Si3 0.494 0.639 0.634
Si4 0.494 0.861 0.134
Si5 0.506 0.139 0.866
Si6 0.506 0.361 0.366
Si7 0.902 0.045 0.629
Si8 0.902 0.455 0.129
Tc1 0.234 0.651 0.257
Tc2 0.234 0.849 0.757
Tc3 0.500 0.000 0.500
Tc4 0.500 0.500 0.000
Tc5 0.766 0.151 0.243
Tc6 0.766 0.349 0.743